{
  "formula": "CaSiGe3",
  "functional": "PBE",
  "state": "relaxed",
  "lattice_angstrom": [[-3.986, -2.451, 1.398], [1.189, -3.653, -3.016], [2.559, -2.121, 3.579]],
  "species": ["Ca", "Ge", "Ge", "Si", "Ge"],
  "fractional_positions": [[0.500, 0.500, 0.500], [0.500, 0.000, 0.000], [0.000, 0.000, 0.500], [0.000, 0.000, 0.000], [0.000, 0.500, 0.000]],
  "volume_a3_per_atom": 23.30,
  "space_group": "Pm-3m",
  "raw_formation_energy_ev_per_fu": 0.989,
  "m_tot_mub_per_cell": 0.0,
  "relative_energy_mev_per_atom": 0
}